Entry 1:
The following is a DFT calculation (PBE) of a relaxed structure of Nd2MgS.

Uncorrected energy, eV per atom: -4.49
Magnetic moment, μB per atom: 0.00
Fermi-level density of states, states/eV/f.u.: 4.0
ΔE_f (raw), eV/atom: -0.673
Energy relative to the lowest polymorph listed for this composition, eV/atom: 0.2430

a b c (Å): 3.8377 3.8377 30.2847
angles (deg): 90.00 90.00 120.00
Space group R-3m (No. 166, hexagonal axes)
Inequivalent atoms, fractional coordinates:
Nd  0.0000  0.0000  0.1113 (multiplicity 6)
Mg  0.0000  0.0000  0.0000 (multiplicity 3)
S  0.0000  0.0000  0.5000 (multiplicity 3)

=====

Entry 2:
The following is a DFT calculation (PBE) of a relaxed structure of Nd4MgS5.

Uncorrected energy, eV per atom: -5.98
Magnetic moment, μB per atom: 0.00
Fermi-level density of states, states/eV/f.u.: 3.4
ΔE_f (raw), eV/atom: -1.848

a b c (Å): 8.9535 8.9535 5.7100
angles (deg): 90.00 90.00 90.00
Space group I4 (No. 79)
Inequivalent atoms, fractional coordinates:
Nd  0.0956  0.6958  0.0000 (multiplicity 8)
Mg  0.0000  0.0000  0.5164 (multiplicity 2)
S  0.0000  0.0000  0.9952 (multiplicity 2)
S  0.0952  0.7224  0.4999 (multiplicity 8)

=====

Entry 3:
The following is a DFT calculation (PBE) of a relaxed structure of Nd5MgS8.

Uncorrected energy, eV per atom: -6.08
Magnetic moment, μB per atom: 0.00
Fermi-level density of states, states/eV/f.u.: 4.3
ΔE_f (raw), eV/atom: -1.909

a b c (Å): 8.5004 8.5004 8.6658
angles (deg): 90.00 90.00 90.00
Space group I-4 (No. 82)
Inequivalent atoms, fractional coordinates:
Nd  0.0000  0.0000  0.0000 (multiplicity 2)
Nd  0.1329  0.7454  0.3852 (multiplicity 8)
Mg  0.0000  0.5000  0.7500 (multiplicity 2)
S  0.0605  0.8058  0.7063 (multiplicity 8)
S  0.0797  0.6792  0.0652 (multiplicity 8)

=====

Entry 4:
The following is a DFT calculation (PBE) of a relaxed structure of NdMgS2.

Uncorrected energy, eV per atom: -5.28
Magnetic moment, μB per atom: 0.00
Fermi-level density of states, states/eV/f.u.: 1.3
ΔE_f (raw), eV/atom: -1.622
Energy relative to the lowest polymorph listed for this composition, eV/atom: 0.0000

a b c (Å): 3.8181 3.8181 19.8983
angles (deg): 90.00 90.00 120.00
Space group R-3m (No. 166, hexagonal axes)
Inequivalent atoms, fractional coordinates:
Nd  0.0000  0.0000  0.0000 (multiplicity 3)
Mg  0.0000  0.0000  0.5000 (multiplicity 3)
S  0.0000  0.0000  0.2392 (multiplicity 6)

=====

Entry 5:
The following is a DFT calculation (PBE) of a relaxed structure of Nd2MgS3.

Uncorrected energy, eV per atom: -5.67
Magnetic moment, μB per atom: 0.00
Fermi-level density of states, states/eV/f.u.: 2.0
ΔE_f (raw), eV/atom: -1.749

a b c (Å): 3.9784 3.9784 16.9162
angles (deg): 90.00 90.00 90.00
Space group I4/mmm (No. 139)
Inequivalent atoms, fractional coordinates:
Nd  0.0000  0.0000  0.1717 (multiplicity 4)
Mg  0.0000  0.0000  0.5000 (multiplicity 2)
S  0.0000  0.0000  0.0000 (multiplicity 2)
S  0.0000  0.0000  0.3464 (multiplicity 4)

=====

Entry 6:
The following is a DFT calculation (PBE) of a relaxed structure of Nd2MgS.

Uncorrected energy, eV per atom: -4.73
Magnetic moment, μB per atom: 0.00
Fermi-level density of states, states/eV/f.u.: 3.5
ΔE_f (raw), eV/atom: -0.916
Energy relative to the lowest polymorph listed for this composition, eV/atom: 0.0000

a b c (Å): 3.9467 3.9467 25.9306
angles (deg): 90.00 90.00 120.00
Space group R3m (No. 160, hexagonal axes)
Inequivalent atoms, fractional coordinates:
Nd  0.0000  0.0000  0.0000 (multiplicity 3)
Nd  0.0000  0.0000  0.2059 (multiplicity 3)
Mg  0.0000  0.0000  0.4360 (multiplicity 3)
S  0.0000  0.0000  0.6037 (multiplicity 3)

=====

Entry 7:
The following is a DFT calculation (PBE) of a relaxed structure of NdMgS2.

Uncorrected energy, eV per atom: -5.27
Magnetic moment, μB per atom: 0.23
Fermi-level density of states, states/eV/f.u.: 0.8
ΔE_f (raw), eV/atom: -1.616
Energy relative to the lowest polymorph listed for this composition, eV/atom: 0.0067

a b c (Å): 3.8154 3.8154 20.2262
angles (deg): 90.00 90.00 120.00
Space group R3m (No. 160, hexagonal axes)
Inequivalent atoms, fractional coordinates:
Nd  0.0000  0.0000  0.0000 (multiplicity 3)
Mg  0.0000  0.0000  0.8309 (multiplicity 3)
S  0.0000  0.0000  0.2393 (multiplicity 3)
S  0.0000  0.0000  0.4279 (multiplicity 3)

=====

Entry 8:
The following is a DFT calculation (PBE) of a relaxed structure of NdMgS.

Uncorrected energy, eV per atom: -4.58
Magnetic moment, μB per atom: 0.00
Fermi-level density of states, states/eV/f.u.: 1.4
ΔE_f (raw), eV/atom: -1.085

a b c (Å): 4.9167 4.9167 23.0558
angles (deg): 90.00 90.00 120.00
Space group R-3m (No. 166, hexagonal axes)
Inequivalent atoms, fractional coordinates:
Nd  0.0000  0.0000  0.0928 (multiplicity 6)
Mg  0.0000  0.0000  0.3277 (multiplicity 6)
S  0.0000  0.0000  0.2174 (multiplicity 6)

=====

Entry 9:
The following is a DFT calculation (PBE) of a relaxed structure of Sr3Nd3MgS8.

Uncorrected energy, eV per atom: -5.56
Magnetic moment, μB per atom: 0.00
Fermi-level density of states, states/eV/f.u.: 3.9
ΔE_f (raw), eV/atom: -1.960

a b c (Å): 8.1711 8.1711 20.7094
angles (deg): 90.00 90.00 120.00
Space group R-3m (No. 166, hexagonal axes)
Inequivalent atoms, fractional coordinates:
Sr  0.0000  0.5000  0.0000 (multiplicity 9)
Nd  0.0000  0.5000  0.5000 (multiplicity 9)
Mg  0.0000  0.0000  0.5000 (multiplicity 3)
S  0.0000  0.0000  0.2464 (multiplicity 6)
S  0.0162  0.5081  0.2406 (multiplicity 18)

=====

Entry 10:
The following is a DFT calculation (PBE) of a relaxed structure of Tb3Nd3MgS8.

Uncorrected energy, eV per atom: -6.16
Magnetic moment, μB per atom: 0.00
Fermi-level density of states, states/eV/f.u.: 3.0
ΔE_f (raw), eV/atom: -1.974

a b c (Å): 7.9052 7.9052 19.6737
angles (deg): 90.00 90.00 120.00
Space group R-3m (No. 166, hexagonal axes)
Inequivalent atoms, fractional coordinates:
Tb  0.0000  0.5000  0.0000 (multiplicity 9)
Nd  0.0000  0.5000  0.5000 (multiplicity 9)
Mg  0.0000  0.0000  0.0000 (multiplicity 3)
S  0.0000  0.0000  0.2542 (multiplicity 6)
S  0.0106  0.5053  0.7434 (multiplicity 18)

=====

Entry 11:
The following is a DFT calculation (PBE) of a relaxed structure of NdMgSb2.

Uncorrected energy, eV per atom: -4.23
Magnetic moment, μB per atom: 0.00
Fermi-level density of states, states/eV/f.u.: 2.8
ΔE_f (raw), eV/atom: -0.575
Energy relative to the lowest polymorph listed for this composition, eV/atom: 0.1388

a b c (Å): 4.4991 4.4991 20.4696
angles (deg): 90.00 90.00 120.00
Space group R-3m (No. 166, hexagonal axes)
Inequivalent atoms, fractional coordinates:
Nd  0.0000  0.0000  0.0000 (multiplicity 3)
Mg  0.0000  0.0000  0.5000 (multiplicity 3)
Sb  0.0000  0.0000  0.2433 (multiplicity 6)

=====

Entry 12:
The following is a DFT calculation (PBE) of a relaxed structure of Nd2MgSb.

Uncorrected energy, eV per atom: -4.28
Magnetic moment, μB per atom: 0.00
Fermi-level density of states, states/eV/f.u.: 3.6
ΔE_f (raw), eV/atom: -0.463
Energy relative to the lowest polymorph listed for this composition, eV/atom: 0.1275

a b c (Å): 7.7205 7.7205 7.7205
angles (deg): 90.00 90.00 90.00
Space group Fm-3m (No. 225)
Inequivalent atoms, fractional coordinates:
Nd  0.2500  0.2500  0.2500 (multiplicity 8)
Mg  0.0000  0.0000  0.0000 (multiplicity 4)
Sb  0.0000  0.0000  0.5000 (multiplicity 4)